First-principles (GGA+U) data for a relaxed Na2InCoO4 crystal, as listed in Alexandria via LeMat-Bulk.

* DFT total energy: -5.158 eV per atom
* crystal system: monoclinic

Cell lengths 3.202, 5.399, 5.702 Å; angles 107.83, 90.00, 90.00 degrees
Last column: magnetic moment on the atom in μB.
Element x y z (fractional)
O 0.500 0.225 0.208  0.03
O 0.000 0.764 0.203  -0.07
O 0.000 0.236 0.797  -0.07
O 0.500 0.775 0.792  0.03
Na 0.500 0.000 0.500  0.00
Na 0.000 0.500 0.500  0.00
Co 0.000 0.000 0.000  2.05
In 0.500 0.500 0.000  0.00